# GGA+U CoIO3, optimized geometry
data_CoIO3
_chemical_formula_sum 'Co1 I1 O3'
_cell_length_a 4.1248
_cell_length_b 4.1248
_cell_length_c 4.1248
_cell_angle_alpha 90.00
_cell_angle_beta 90.00
_cell_angle_gamma 90.00
_symmetry_space_group_name_H-M 'P m -3 m'
_symmetry_Int_Tables_number 221
_symmetry_space_group_name_Hall '-P 4 2 3'
loop_
_atom_site_label
_atom_site_type_symbol
_atom_site_fract_x
_atom_site_fract_y
_atom_site_fract_z
_atom_site_occupancy
Co1 Co 0.0000 0.0000 0.0000 1
I1 I 0.5000 0.5000 0.5000 1
O1 O 0.0000 0.5000 0.5000 1
# size of the total moment = 2.57 μB/f.u.
# E_tot = -3.9552 eV per atom